# 1
A PBEsol-optimized structure of FeTcW2, computed with SCAN.

## Properties
Energy, eV/cell: -192.3
Magnetization, μB per cell: 2.65
V, Å³ per cell: 57
SG: P4mm
ΔE_f, eV/atom: 0.07
Energy above the lowest structure with this stoichiometry, meV/atom: 0

```
FeTcW2
1.0
3.0901 0.0000 0.0000
0.0000 3.0902 0.0000
0.0000 0.0000 5.9400
Tc Fe W
1 1 2
Direct
0.5000 0.5000 0.7463 Tc
0.0000 0.0000 0.4920 Fe
0.5000 0.5000 0.2705 W
0.0000 0.0000 0.9912 W
```



# 2
A PBEsol-optimized structure of La3Y, computed with SCAN.

## Properties
Energy, eV/cell: -157.1
Magnetization, μB per cell: 0.00
V, Å³ per cell: 132
SG: R-3m
ΔE_f, eV/atom: 0.02

```
La3Y
1.0
-3.0091 1.4256 -1.3978
-2.7720 0.8381 2.1574
2.4636 11.4709 1.7312
Y La
1 3
Direct
0.5000 0.5000 0.5000 Y
0.0000 0.0000 0.0000 La
0.2490 0.2490 0.2530 La
0.7510 0.7510 0.7470 La
```



# 3
A PBEsol-optimized structure of Y2AuO2, computed with SCAN.

## Properties
Energy, eV/cell: -152.0
Magnetization, μB per cell: 0.00
V, Å³ per cell: 86
SG: I4/mmm

```
Y2AuO2
1.0
3.8307 0.0000 0.0000
0.0000 3.8307 0.0000
-1.9154 -1.9154 5.8808
Y O Au
2 2 1
Direct
0.6567 0.6567 0.3134 Y
0.3433 0.3433 0.6866 Y
0.2500 0.7500 0.5000 O
0.7500 0.2500 0.5000 O
0.0000 0.0000 0.0000 Au
```



# 4
A PBEsol-optimized structure of FeSe3, computed with SCAN.

## Properties
Energy, eV/cell: -77.9
Magnetization, μB per cell: 1.67
V, Å³ per cell: 75
SG: P-6m2

```
FeSe3
1.0
3.0561 0.0000 0.0000
-1.5281 2.6467 0.0000
0.0000 0.0000 9.2357
Se Fe
3 1
Direct
0.3333 0.6667 0.8278 Se
0.3333 0.6667 0.1722 Se
0.0000 0.0000 0.5000 Se
0.0000 0.0000 0.0000 Fe
```



# 5
A PBEsol-optimized structure of VPH4O6, computed with SCAN.

## Properties
Energy, eV/cell: -405.2
Magnetization, μB per cell: 8.00
V, Å³ per cell: 447
SG: P2_1/c

```
VPH4O6
1.0
5.2290 -0.0438 0.0000
-0.3127 8.5431 0.0000
0.0000 0.0000 10.0030
P O H V
4 24 16 4
Direct
0.0929 0.3240 0.1386 P
0.4071 0.1760 0.6386 P
0.9071 0.6760 0.8614 P
0.5929 0.8240 0.3614 P
0.5400 0.4402 0.3486 O
0.1015 0.7553 0.5590 O
0.2118 0.2873 0.6987 O
0.8985 0.2447 0.4410 O
0.7118 0.7873 0.8013 O
0.0400 0.9402 0.1514 O
0.8179 0.2566 0.1675 O
0.8746 0.6668 0.0152 O
0.1821 0.7434 0.8325 O
0.1385 0.4868 0.2036 O
0.3746 0.1668 0.4848 O
0.2882 0.2127 0.1987 O
0.9600 0.0598 0.8486 O
0.6385 0.9868 0.2964 O
0.6821 0.2434 0.6675 O
0.6015 0.2553 0.9410 O
0.3179 0.7566 0.3325 O
0.1254 0.3332 0.9848 O
0.6254 0.8332 0.5152 O
0.3615 0.0132 0.7036 O
0.3985 0.7447 0.0590 O
0.4600 0.5598 0.6514 O
0.7882 0.7127 0.3013 O
0.8615 0.5132 0.7964 O
0.3285 0.4717 0.6640 H
0.8402 0.2527 0.5377 H
0.6210 0.5268 0.6978 H
0.0760 0.2041 0.4410 H
0.9240 0.7959 0.5590 H
0.1715 0.0283 0.1640 H
0.6715 0.5283 0.3360 H
0.8285 0.9717 0.8360 H
0.3790 0.4732 0.3022 H
0.3402 0.7527 0.9623 H
0.8790 0.9732 0.1978 H
0.1598 0.7473 0.4623 H
0.4240 0.2959 0.9410 H
0.5760 0.7041 0.0590 H
0.6598 0.2473 0.0377 H
0.1210 0.0268 0.8022 H
0.4058 0.7860 0.6762 V
0.9058 0.2860 0.8238 V
0.0942 0.7140 0.1762 V
0.5942 0.2140 0.3238 V
```



# 6
A PBEsol-optimized structure of Hf3CdI, computed with SCAN.

## Properties
Energy, eV/cell: -248.9
Magnetization, μB per cell: 0.00
V, Å³ per cell: 135
SG: Pm-3m

```
Hf3CdI
1.0
-1.6373 -1.6759 4.5585
-0.2295 -4.7785 -1.8392
4.8514 -0.7917 1.4515
I Hf Cd
1 3 1
Direct
0.0000 0.0000 0.0000 I
0.5000 0.0000 0.0000 Hf
0.0000 0.5000 0.0000 Hf
0.0000 0.0000 0.5000 Hf
0.5000 0.5000 0.5000 Cd
```



# 7
A PBEsol-optimized structure of EuZnIn, computed with SCAN.

## Properties
Energy, eV/cell: -204.2
Magnetization, μB per cell: 14.28
V, Å³ per cell: 142
SG: C2/m
ΔE_f, eV/atom: -0.50

```
EuZnIn
1.0
-3.1598 -0.7539 -3.3736
-0.7622 -5.7402 -1.2542
-5.5603 -1.0691 2.1961
Eu In Zn
2 2 2
Direct
0.4553 0.7895 0.2999 Eu
0.5447 0.2105 0.7001 Eu
0.1714 0.7670 0.8901 In
0.8286 0.2330 0.1099 In
0.1531 0.3934 0.3004 Zn
0.8469 0.6066 0.6996 Zn
```



# 8
A PBEsol-optimized structure of YZn2Si, computed with SCAN.

## Properties
Energy, eV/cell: -66.5
Magnetization, μB per cell: 0.00
V, Å³ per cell: 72
SG: R3m

```
YZn2Si
1.0
-1.4658 1.8231 -3.3328
-0.6966 -2.1752 -3.3709
-5.4278 -1.0378 -0.6679
Zn Si Y
2 1 1
Direct
0.7542 0.7542 0.7373 Zn
0.0281 0.0281 0.9158 Zn
0.4629 0.4629 0.6114 Si
0.2473 0.2473 0.2582 Y
```